[1]
La2PmPu: relaxed, PBE-GGA.

Results
* D(E_F): 2.51 states/eV per atom
* energy of formation from the pure elements: 0.110 eV/atom
* total magnetization: 6.28 μB/f.u.

abc: 3.616 3.616 10.279
angles: 90.00 90.00 90.00
Last column: magnetic moment on the atom in μB.
Fractional positions:
Pm (0.500, 0.500, 0.000)  0.07
La (0.000, 0.000, 0.739)  -0.08
La (0.000, 0.000, 0.261)  -0.08
Pu (0.500, 0.500, 0.500)  -5.62



[2]
NiBiOs3: relaxed, PBE-GGA.

Results
* D(E_F): 2.56 states/eV per atom
* energy of formation from the pure elements: 3.321 eV/atom
* total magnetization: 4.61 μB/f.u.

abc: 4.954 4.954 4.954
angles: 90.00 90.00 90.00
Last column: magnetic moment on the atom in μB.
Fractional positions:
Ni (0.500, 0.500, 0.500)  1.10
Os (0.000, 0.500, 0.000)  1.15
Os (0.000, 0.000, 0.500)  1.35
Os (0.500, 0.000, 0.000)  0.96
Bi (0.000, 0.000, 0.000)  -0.05



[3]
La2In4AgAu3: relaxed, PBE-GGA.

Results
* D(E_F): 0.66 states/eV per atom
* energy of formation from the pure elements: -0.512 eV/atom
* total magnetization: 0.00 μB/f.u.

abc: 4.581 4.581 11.751
angles: 90.00 90.00 90.00
Fractional positions:
La (0.500, 0.000, 0.252)
La (0.000, 0.500, 0.748)
In (0.500, 0.500, 0.000)
In (0.000, 0.000, 0.000)
In (0.500, 0.000, 0.632)
In (0.000, 0.500, 0.368)
Ag (0.500, 0.500, 0.500)
Au (0.000, 0.000, 0.500)
Au (0.500, 0.000, 0.860)
Au (0.000, 0.500, 0.140)